# 1
First-principles (GGA-PBE) data for a relaxed structure of SnSeBr2, as listed in Alexandria via LeMat-Bulk.

abc: 7.581 7.581 7.581
angles: 90.00 90.00 90.00
Space group Fm-3m (No. 225)
Symmetry-distinct sites (fractional):
Sn (0.000, 0.000, 0.000) x4
Se (0.000, 0.000, 0.500) x4
Br (0.250, 0.250, 0.250) x8

spin magnetization = 2.000 μB per formula unit
polymorph energy (0 for the lowest one) = 228.8 meV/atom
crystal system = cubic
volume = 27.231 A^3/atom

---

# 2
First-principles (GGA-PBE) data for a relaxed structure of SnSe2Br, as listed in Alexandria via LeMat-Bulk.

abc: 4.1286 4.1286 25.2416
angles: 90.00 90.00 120.00
Space group R-3m (No. 166, hexagonal axes)
Symmetry-distinct sites (fractional):
Sn (0.0000, 0.0000, 0.0000) x3
Se (0.0000, 0.0000, 0.3961) x6
Br (0.0000, 0.0000, 0.5000) x3

spin magnetization = 0.000 μB per formula unit
polymorph energy (0 for the lowest one) = 0.0 meV/atom
crystal system = trigonal
volume = 31.050 A^3/atom

---

# 3
First-principles (GGA-PBE) data for a relaxed structure of SnSeBr2, as listed in Alexandria via LeMat-Bulk.

abc: 3.4830 3.4830 30.7331
angles: 90.00 90.00 120.00
Space group R-3m (No. 166, hexagonal axes)
Symmetry-distinct sites (fractional):
Sn (0.0000, 0.0000, 0.0000) x3
Se (0.0000, 0.0000, 0.5000) x3
Br (0.0000, 0.0000, 0.0905) x6

spin magnetization = 0.000 μB per formula unit
polymorph energy (0 for the lowest one) = 403.6 meV/atom
crystal system = trigonal
volume = 26.907 A^3/atom

---

# 4
First-principles (GGA-PBE) data for a relaxed structure of Sn4Se5Br, as listed in Alexandria via LeMat-Bulk.

abc: 8.625 15.894 4.325
angles: 90.00 90.00 90.00
Space group Pmmn (No. 59, origin choice 2)
Symmetry-distinct sites (fractional):
Sn (0.010, 0.250, 0.042) x4
Sn (0.250, 0.053, 0.614) x4
Se (0.007, 0.083, 0.093) x8
Se (0.250, 0.250, 0.598) x2
Br (0.250, 0.750, 0.392) x2

spin magnetization = 0.000 μB per formula unit
crystal system = orthorhombic
volume = 29.646 A^3/atom

---

# 5
First-principles (GGA-PBE) data for a relaxed structure of SnSe2Br, as listed in Alexandria via LeMat-Bulk.

abc: 7.212 7.212 7.212
angles: 90.00 90.00 90.00
Space group Fm-3m (No. 225)
Symmetry-distinct sites (fractional):
Sn (0.000, 0.000, 0.000) x4
Se (0.250, 0.250, 0.250) x8
Br (0.000, 0.000, 0.500) x4

spin magnetization = 0.000 μB per formula unit
polymorph energy (0 for the lowest one) = 442.0 meV/atom
crystal system = cubic
volume = 23.449 A^3/atom

---

# 6
First-principles (GGA-PBE) data for a relaxed structure of Sn2SeBr2, as listed in Alexandria via LeMat-Bulk.

abc: 7.970 7.970 4.633
angles: 90.00 90.00 90.00
Space group P4/mbm (No. 127)
Symmetry-distinct sites (fractional):
Sn (0.183, 0.317, 0.000) x4
Se (0.000, 0.000, 0.000) x2
Br (0.156, 0.656, 0.500) x4

spin magnetization = 0.000 μB per formula unit
polymorph energy (0 for the lowest one) = 185.7 meV/atom
crystal system = tetragonal
volume = 29.429 A^3/atom

---

# 7
First-principles (GGA-PBE) data for a relaxed structure of Sn5Se12Br3, as listed in Alexandria via LeMat-Bulk.

abc: 17.128 17.128 17.128
angles: 90.00 90.00 90.00
Space group Ia-3d (No. 230)
Symmetry-distinct sites (fractional):
Sn (0.000, 0.000, 0.000) x16
Sn (0.000, 0.250, 0.375) x24
Se (0.017, 0.049, 0.654) x96
Br (0.000, 0.250, 0.125) x24

spin magnetization = 0.009 μB per formula unit
crystal system = cubic
volume = 31.403 A^3/atom

---

# 8
First-principles (GGA-PBE) data for a relaxed structure of Sn4Se2Br5, as listed in Alexandria via LeMat-Bulk.

abc: 4.277 9.584 11.133
angles: 85.61 89.99 77.11
Space group P-1 (No. 2)
Symmetry-distinct sites (fractional):
Sn (0.019, 0.461, 0.292) x2
Sn (0.359, 0.782, 0.045) x2
Se (0.478, 0.544, 0.872) x2
Br (0.129, 0.242, 0.744) x2
Br (0.201, 0.099, 0.122) x2
Br (0.500, 0.500, 0.500) x1

spin magnetization = 0.000 μB per formula unit
polymorph energy (0 for the lowest one) = 0.0 meV/atom
crystal system = triclinic
volume = 40.319 A^3/atom

---

# 9
First-principles (GGA-PBE) data for a relaxed structure of SnSe2Br, as listed in Alexandria via LeMat-Bulk.

abc: 7.509 7.509 8.905
angles: 90.00 90.00 90.00
Space group I-42d (No. 122)
Symmetry-distinct sites (fractional):
Sn (0.000, 0.000, 0.000) x4
Se (0.197, 0.250, 0.125) x8
Br (0.000, 0.000, 0.500) x4

spin magnetization = 0.002 μB per formula unit
polymorph energy (0 for the lowest one) = 166.6 meV/atom
crystal system = tetragonal
volume = 31.379 A^3/atom

---

# 10
First-principles (GGA-PBE) data for a relaxed structure of Sn2Se2Br, as listed in Alexandria via LeMat-Bulk.

abc: 5.225 5.225 11.225
angles: 90.00 90.00 90.00
Space group I4/mmm (No. 139)
Symmetry-distinct sites (fractional):
Sn (0.000, 0.500, 0.250) x4
Se (0.000, 0.000, 0.150) x4
Br (0.000, 0.000, 0.500) x2

spin magnetization = 0.000 μB per formula unit
polymorph energy (0 for the lowest one) = 185.9 meV/atom
crystal system = tetragonal
volume = 30.650 A^3/atom

---

# 11
First-principles (GGA-PBE) data for a relaxed structure of Sn4Se2Br3, as listed in Alexandria via LeMat-Bulk.

abc: 8.031 4.175 17.343
angles: 90.00 93.92 90.00
Space group C2/m (No. 12)
Symmetry-distinct sites (fractional):
Sn (0.000, 0.000, 0.194) x4
Sn (0.163, 0.500, 0.383) x4
Se (0.163, 0.500, 0.705) x4
Br (0.000, 0.000, 0.500) x2
Br (0.167, 0.500, 0.101) x4

spin magnetization = 0.000 μB per formula unit
crystal system = monoclinic
volume = 32.231 A^3/atom

---

# 12
First-principles (GGA-PBE) data for a relaxed structure of Sn2SeBr, as listed in Alexandria via LeMat-Bulk.

abc: 3.9431 3.9431 25.7759
angles: 90.00 90.00 120.00
Space group R-3m (No. 166, hexagonal axes)
Symmetry-distinct sites (fractional):
Sn (0.0000, 0.0000, 0.2422) x6
Se (0.0000, 0.0000, 0.5000) x3
Br (0.0000, 0.0000, 0.0000) x3

spin magnetization = 0.000 μB per formula unit
polymorph energy (0 for the lowest one) = 0.0 meV/atom
crystal system = trigonal
volume = 28.922 A^3/atom

---

One value per record, in order, for N(E_F): 2.72 2.05 3.69 0.32 5.81 0.85 21.11 0.93 6.24 2.88 2.20 1.24 states/eV/f.u..
One value per record, in order, for ΔE_f (raw): 0.09 -0.18 0.27 -0.34 0.26 -0.43 0.12 -0.58 -0.02 -0.29 -0.48 -0.35 eV per atom.